Arrangement w

Entry from Alexandria: crystalline Na3AgSb at its relaxed geometry (GGA-PBE).

```
data_Na3AgSb
_space_group_name_H-M_alt 'P m -3 m'
_space_group_IT_number 221
_space_group_name_Hall '-P 4 2 3'
_cell_length_a 5.859
_cell_length_b 5.859
_cell_length_c 5.859
_cell_angle_alpha 90.00
_cell_angle_beta 90.00
_cell_angle_gamma 90.00
loop_
_atom_site_label
_atom_site_type_symbol
_atom_site_fract_x
_atom_site_fract_y
_atom_site_fract_z
Na1 Na 0.000 0.000 0.500
Ag1 Ag 0.500 0.500 0.500
Sb1 Sb 0.000 0.000 0.000
```

Calculated volume (A^3/atom): 40.23
DOS(E_F) (states/eV per cell): 3.45

***

Arrangement x

Entry from Alexandria: crystalline Na3AgSb at its relaxed geometry (GGA-PBE).

```
data_Na3AgSb
_space_group_name_H-M_alt 'I m a 2'
_space_group_IT_number 46
_space_group_name_Hall 'I 2 -2a'
_cell_length_a 11.047
_cell_length_b 7.604
_cell_length_c 6.846
_cell_angle_alpha 90.00
_cell_angle_beta 90.00
_cell_angle_gamma 90.00
loop_
_atom_site_label
_atom_site_type_symbol
_atom_site_fract_x
_atom_site_fract_y
_atom_site_fract_z
Na1 Na 0.019 0.249 0.000
Na2 Na 0.250 0.062 0.252
Ag1 Ag 0.250 0.750 0.003
Sb1 Sb 0.250 0.031 0.752
```

Calculated volume (A^3/atom): 28.75
DOS(E_F) (states/eV per cell): 5.02

***

Arrangement y

Entry from Alexandria: crystalline Na3AgSb at its relaxed geometry (GGA-PBE).

```
data_Na3AgSb
_space_group_name_H-M_alt 'P m -3 m'
_space_group_IT_number 221
_space_group_name_Hall '-P 4 2 3'
_cell_length_a 5.458
_cell_length_b 5.458
_cell_length_c 5.458
_cell_angle_alpha 90.00
_cell_angle_beta 90.00
_cell_angle_gamma 90.00
loop_
_atom_site_label
_atom_site_type_symbol
_atom_site_fract_x
_atom_site_fract_y
_atom_site_fract_z
Na1 Na 0.000 0.000 0.500
Ag1 Ag 0.000 0.000 0.000
Sb1 Sb 0.500 0.500 0.500
```

Calculated volume (A^3/atom): 32.51
DOS(E_F) (states/eV per cell): 2.44

***

Which structure is the most stable? The one labeled arrangement x.

***

Arrangement w

Entry from Alexandria: crystalline NaAg4Sb at its relaxed geometry (GGA-PBE).

```
data_NaAg4Sb
_space_group_name_H-M_alt 'C m c m'
_space_group_IT_number 63
_space_group_name_Hall '-C 2c 2'
_cell_length_a 5.204
_cell_length_b 13.796
_cell_length_c 7.893
_cell_angle_alpha 90.00
_cell_angle_beta 90.00
_cell_angle_gamma 90.00
loop_
_atom_site_label
_atom_site_type_symbol
_atom_site_fract_x
_atom_site_fract_y
_atom_site_fract_z
Na1 Na 0.000 0.118 0.250
Ag1 Ag 0.000 0.092 0.750
Ag2 Ag 0.000 0.285 0.579
Ag3 Ag 0.000 0.500 0.000
Sb1 Sb 0.000 0.353 0.250
```

Calculated volume (A^3/atom): 23.61
DOS(E_F) (states/eV per cell): 4.97

***

Arrangement x

Entry from Alexandria: crystalline NaAg4Sb at its relaxed geometry (GGA-PBE).

```
data_NaAg4Sb
_space_group_name_H-M_alt 'F -4 3 m'
_space_group_IT_number 216
_space_group_name_Hall 'F -4 2 3'
_cell_length_a 7.957
_cell_length_b 7.957
_cell_length_c 7.957
_cell_angle_alpha 90.00
_cell_angle_beta 90.00
_cell_angle_gamma 90.00
loop_
_atom_site_label
_atom_site_type_symbol
_atom_site_fract_x
_atom_site_fract_y
_atom_site_fract_z
Na1 Na 0.000 0.000 0.000
Ag1 Ag 0.125 0.125 0.625
Sb1 Sb 0.250 0.250 0.250
```

Calculated volume (A^3/atom): 20.99
DOS(E_F) (states/eV per cell): 7.99

***

Which structure is the most stable? The one labeled arrangement x.